Computed, not measured: an optimized crystal structure of Li2CuNiO4 at the PBE with a Hubbard U level of DFT.

Values from the calculation:
DFT total energy, eV/atom: -4.95
Fermi-level density of states, states/eV/f.u.: 0.15
Polymorph energy (0 for the lowest one), eV/atom: 0.0000

Unit cell a=8.1859 b=7.8652 c=6.0097 alpha=90.00 beta=130.93 gamma=90.00
Space group C2/c (No. 15)
Unique sites:
Li  0.0000  0.0000  0.0000
Li  0.2500  0.2500  0.0000
Cu  0.2500  0.2500  0.5000
Ni  0.0000  0.5000  0.0000
O  0.0499  0.2609  0.5535
O  0.2223  0.4838  0.4292